Record 1
A relaxed SmIn2AgTe4 crystal. Source: Alexandria via LeMat-Bulk, functional PBE.

The space group is P2/m (No. 10) and the conventional cell measures 7.6060, 4.3840 and 7.8564 Å, with angles of 90.00, 108.85 and 90.00 degrees. Symmetry generates all atoms from Sm at (0.0000, 0.0000, 0.0000), In at (0.0000, 0.5000, 0.5000), In at (0.5000, 0.0000, 0.5000), Ag at (0.5000, 0.5000, 0.0000), Te at (0.2493, 0.5000, 0.2437) and Te at (0.2562, 0.0000, 0.7566).

The value obtained for the energy is -3.729 eV/atom. As for the uncorrected formation energy: -0.527 eV per atom. Its density of states at the Fermi level is 4.16 states/eV per cell. As for the crystal system: monoclinic.



Record 2
A relaxed Sm3In4AgTe8 crystal. Source: Alexandria via LeMat-Bulk, functional PBE.

The space group is R-3m (No. 166, hexagonal axes) and the conventional cell measures 8.8900, 8.8900 and 23.1813 Å, with angles of 90.00, 90.00 and 120.00 degrees. Symmetry generates all atoms from Sm at (0.0000, 0.5000, 0.0000), In at (0.0000, 0.0000, 0.5000), In at (0.0000, 0.5000, 0.5000), Ag at (0.0000, 0.0000, 0.0000), Te at (0.0000, 0.0000, 0.2555) and Te at (0.0021, 0.5010, 0.2545).

The value obtained for the energy is -4.061 eV/atom. As for the uncorrected formation energy: -0.742 eV per atom. Its density of states at the Fermi level is 14.99 states/eV per cell. As for the crystal system: trigonal.



Record 3
A relaxed Sm2ThIn2Ag2 crystal. Source: Alexandria via LeMat-Bulk, functional PBE.

The space group is R-3m (No. 166, hexagonal axes) and the conventional cell measures 4.8940, 4.8940 and 27.3672 Å, with angles of 90.00, 90.00 and 120.00 degrees. Symmetry generates all atoms from Sm at (0.0000, 0.0000, 0.1267), Th at (0.0000, 0.0000, 0.0000), In at (0.0000, 0.0000, 0.2617) and Ag at (0.0000, 0.0000, 0.3980).

The value obtained for the energy is -4.233 eV/atom. Its density of states at the Fermi level is 16.62 states/eV per cell. As for the crystal system: trigonal. The calculation puts the formation energy at -0.228 eV/atom.



Record 4
A relaxed SmThInAg crystal. Source: Alexandria via LeMat-Bulk, functional PBE.

The space group is F-43m (No. 216) and the conventional cell measures 7.6137, 7.6137 and 7.6137 Å, with angles of 90.00, 90.00 and 90.00 degrees. Symmetry generates all atoms from Sm at (0.0000, 0.0000, 0.0000), Th at (0.0000, 0.0000, 0.5000), In at (0.2500, 0.2500, 0.7500) and Ag at (0.2500, 0.2500, 0.2500).

The value obtained for the energy is -4.655 eV/atom. Its density of states at the Fermi level is 20.00 states/eV per cell. As for the crystal system: cubic. The calculation puts the formation energy at -0.223 eV/atom.



Record 5
A relaxed Sm4TlIn2Ag crystal. Source: Alexandria via LeMat-Bulk, functional PBE.

The space group is R-3m (No. 166, hexagonal axes) and the conventional cell measures 5.3900, 5.3900 and 26.6274 Å, with angles of 90.00, 90.00 and 120.00 degrees. Symmetry generates all atoms from Sm at (0.0000, 0.0000, 0.1221), Sm at (0.0000, 0.0000, 0.3723), Tl at (0.0000, 0.0000, 0.5000), In at (0.0000, 0.0000, 0.2505) and Ag at (0.0000, 0.0000, 0.0000).

The value obtained for the energy is -4.089 eV/atom. Its density of states at the Fermi level is 31.04 states/eV per cell. As for the crystal system: trigonal. The calculation puts the formation energy at -0.393 eV/atom.



Record 6
A relaxed SmTmInAg crystal. Source: Alexandria via LeMat-Bulk, functional PBE.

The space group is P4mm (No. 99) and the conventional cell measures 3.6333, 3.6333 and 7.7647 Å, with angles of 90.00, 90.00 and 90.00 degrees. Symmetry generates all atoms from Sm at (0.0000, 0.0000, 0.0000), Tm at (0.0000, 0.0000, 0.5272), In at (0.5000, 0.5000, 0.2713) and Ag at (0.5000, 0.5000, 0.7380).

The value obtained for the energy is -4.093 eV/atom. Its density of states at the Fermi level is 2.87 states/eV per cell. As for the crystal system: tetragonal. The calculation puts the formation energy at -0.398 eV/atom.



Record 7
A relaxed SmTmInAg crystal. Source: Alexandria via LeMat-Bulk, functional PBE.

The space group is F-43m (No. 216) and the conventional cell measures 7.4591, 7.4591 and 7.4591 Å, with angles of 90.00, 90.00 and 90.00 degrees. Symmetry generates all atoms from Sm at (0.0000, 0.0000, 0.0000), Tm at (0.0000, 0.0000, 0.5000), In at (0.2500, 0.2500, 0.7500) and Ag at (0.2500, 0.2500, 0.2500).

The value obtained for the energy is -4.078 eV/atom. Its density of states at the Fermi level is 13.33 states/eV per cell. As for the crystal system: cubic. The calculation puts the formation energy at -0.383 eV/atom.



Record 8
A relaxed Sm2YIn2Ag2 crystal. Source: Alexandria via LeMat-Bulk, functional PBE.

The space group is R-3m (No. 166, hexagonal axes) and the conventional cell measures 4.8575, 4.8575 and 27.1731 Å, with angles of 90.00, 90.00 and 120.00 degrees. Symmetry generates all atoms from Sm at (0.0000, 0.0000, 0.1258), Y at (0.0000, 0.0000, 0.0000), In at (0.0000, 0.0000, 0.2627) and Ag at (0.0000, 0.0000, 0.3933).

The value obtained for the energy is -4.166 eV/atom. Its density of states at the Fermi level is 17.28 states/eV per cell. As for the crystal system: trigonal. The calculation puts the formation energy at -0.297 eV/atom.



Record 9
A relaxed SmYInAg crystal. Source: Alexandria via LeMat-Bulk, functional PBE.

The space group is F-43m (No. 216) and the conventional cell measures 7.5129, 7.5129 and 7.5129 Å, with angles of 90.00, 90.00 and 90.00 degrees. Symmetry generates all atoms from Sm at (0.0000, 0.0000, 0.0000), Y at (0.0000, 0.0000, 0.5000), In at (0.2500, 0.2500, 0.2500) and Ag at (0.2500, 0.2500, 0.7500).

The value obtained for the energy is -4.596 eV/atom. Its density of states at the Fermi level is 14.89 states/eV per cell. As for the crystal system: cubic. The calculation puts the formation energy at -0.402 eV/atom.



Record 10
A relaxed SmZn2InAg5 crystal. Source: Alexandria via LeMat-Bulk, functional PBE.

The space group is P4/mmm (No. 123) and the conventional cell measures 4.9239, 4.9239 and 7.7031 Å, with angles of 90.00, 90.00 and 90.00 degrees. Symmetry generates all atoms from Sm at (0.0000, 0.0000, 0.0000), Zn at (0.5000, 0.5000, 0.3453), In at (0.0000, 0.0000, 0.5000), Ag at (0.0000, 0.5000, 0.2419) and Ag at (0.5000, 0.5000, 0.0000).

The value obtained for the energy is -2.705 eV/atom. Its density of states at the Fermi level is 4.44 states/eV per cell. As for the crystal system: tetragonal. The calculation puts the formation energy at -0.009 eV/atom.



Record 11
A relaxed SmZrInAg crystal. Source: Alexandria via LeMat-Bulk, functional PBE.

The space group is F-43m (No. 216) and the conventional cell measures 7.2887, 7.2887 and 7.2887 Å, with angles of 90.00, 90.00 and 90.00 degrees. Symmetry generates all atoms from Sm at (0.0000, 0.0000, 0.0000), Zr at (0.0000, 0.0000, 0.5000), In at (0.2500, 0.2500, 0.7500) and Ag at (0.2500, 0.2500, 0.2500).

The value obtained for the energy is -4.900 eV/atom. Its density of states at the Fermi level is 12.81 states/eV per cell. As for the crystal system: cubic. The calculation puts the formation energy at -0.185 eV/atom.



Record 12
A relaxed InAg14Sn crystal. Source: Alexandria via LeMat-Bulk, functional PBE.

The space group is P4/mmm (No. 123) and the conventional cell measures 5.9869, 5.9869 and 8.2850 Å, with angles of 90.00, 90.00 and 90.00 degrees. Symmetry generates all atoms from In at (0.0000, 0.0000, 0.0000), Ag at (0.0000, 0.0000, 0.5000), Ag at (0.0000, 0.5000, 0.0000), Ag at (0.0000, 0.5000, 0.5000), Ag at (0.2491, 0.2491, 0.2564), Ag at (0.5000, 0.5000, 0.5000) and Sn at (0.5000, 0.5000, 0.0000).

The value obtained for the energy is -2.900 eV/atom. Its density of states at the Fermi level is 6.81 states/eV per cell. As for the crystal system: tetragonal. The calculation puts the formation energy at 0.016 eV/atom.



Record 13
A relaxed InAg2Sn crystal. Source: Alexandria via LeMat-Bulk, functional PBE.

The space group is Cm (No. 8) and the conventional cell measures 5.9673, 3.1986 and 9.3673 Å, with angles of 90.00, 98.63 and 90.00 degrees. Symmetry generates all atoms from In at (0.0000, 0.0000, 0.0000), Ag at (0.0996, 0.5000, 0.7548), Ag at (0.3946, 0.0000, 0.2454) and Sn at (0.1564, 0.0000, 0.4969).

The value obtained for the energy is -3.051 eV/atom. Its density of states at the Fermi level is 2.39 states/eV per cell. As for the crystal system: monoclinic. The calculation puts the formation energy at 0.060 eV/atom.



Record 14
A relaxed InAg5Sn2 crystal. Source: Alexandria via LeMat-Bulk, functional PBE.

The space group is I4/mmm (No. 139) and the conventional cell measures 6.2355, 6.2355 and 8.4552 Å, with angles of 90.00, 90.00 and 90.00 degrees. Symmetry generates all atoms from In at (0.0000, 0.0000, 0.0000), Ag at (0.0000, 0.0000, 0.5000), Ag at (0.2500, 0.2500, 0.2500) and Sn at (0.0000, 0.5000, 0.0000).

The value obtained for the energy is -3.084 eV/atom. Its density of states at the Fermi level is 8.20 states/eV per cell. As for the crystal system: tetragonal. The calculation puts the formation energy at 0.041 eV/atom.



Record 15
A relaxed In3AgSn crystal. Source: Alexandria via LeMat-Bulk, functional PBE.

The space group is Pm-3m (No. 221) and the conventional cell measures 5.3365, 5.3365 and 5.3365 Å, with angles of 90.00, 90.00 and 90.00 degrees. Symmetry generates all atoms from In at (0.0000, 0.0000, 0.5000), Ag at (0.0000, 0.0000, 0.0000) and Sn at (0.5000, 0.5000, 0.5000).

The value obtained for the energy is -2.724 eV/atom. Its density of states at the Fermi level is 3.86 states/eV per cell. As for the crystal system: cubic. The calculation puts the formation energy at 0.290 eV/atom.



Record 16
A relaxed In8Ag2Sn3 crystal. Source: Alexandria via LeMat-Bulk, functional PBE.

The space group is C2/m (No. 12) and the conventional cell measures 14.8916, 9.0534 and 5.4701 Å, with angles of 90.00, 106.09 and 90.00 degrees. Symmetry generates all atoms from In at (0.1127, 0.0000, 0.4812), In at (0.1396, 0.2001, 0.0405), In at (0.1681, 0.5000, 0.5611), Ag at (0.2205, 0.5000, 0.1033), Sn at (0.0000, 0.2833, 0.5000) and Sn at (0.0000, 0.5000, 0.0000).

The value obtained for the energy is -2.993 eV/atom. Its density of states at the Fermi level is 12.25 states/eV per cell. As for the crystal system: monoclinic. The calculation puts the formation energy at 0.054 eV/atom.



Record 17
A relaxed In2Ag5Sn2 crystal. Source: Alexandria via LeMat-Bulk, functional PBE.

The space group is P-1 (No. 2) and the conventional cell measures 3.3204, 5.2500 and 12.0258 Å, with angles of 100.29, 92.62 and 107.64 degrees. Symmetry generates all atoms from In at (0.1380, 0.2174, 0.2021), Ag at (0.1807, 0.3914, 0.9020), Ag at (0.3751, 0.7376, 0.5565), Ag at (0.5000, 0.0000, 0.0000) and Sn at (0.1286, 0.2373, 0.6534).

The value obtained for the energy is -3.047 eV/atom. Its density of states at the Fermi level is 2.93 states/eV per cell. As for the crystal system: triclinic. The calculation puts the formation energy at 0.035 eV/atom.



Record 18
A relaxed InAg2Sn crystal. Source: Alexandria via LeMat-Bulk, functional PBE.

The space group is Fm-3m (No. 225) and the conventional cell measures 7.0768, 7.0768 and 7.0768 Å, with angles of 90.00, 90.00 and 90.00 degrees. Symmetry generates all atoms from In at (0.0000, 0.0000, 0.0000), Ag at (0.2500, 0.2500, 0.2500) and Sn at (0.0000, 0.0000, 0.5000).

The value obtained for the energy is -3.040 eV/atom. Its density of states at the Fermi level is 5.18 states/eV per cell. As for the crystal system: cubic. The calculation puts the formation energy at 0.071 eV/atom.



Record 19
A relaxed InAgSn2 crystal. Source: Alexandria via LeMat-Bulk, functional PBE.

The space group is P4/mmm (No. 123) and the conventional cell measures 4.6999, 4.6999 and 4.4904 Å, with angles of 90.00, 90.00 and 90.00 degrees. Symmetry generates all atoms from In at (0.0000, 0.0000, 0.0000), Ag at (0.5000, 0.5000, 0.0000) and Sn at (0.0000, 0.5000, 0.5000).

The value obtained for the energy is -3.314 eV/atom. Its density of states at the Fermi level is 2.60 states/eV per cell. As for the crystal system: tetragonal. The calculation puts the formation energy at 0.085 eV/atom.



Record 20
A relaxed In7Ag2Sn2 crystal. Source: Alexandria via LeMat-Bulk, functional PBE.

The space group is Cmmm (No. 65) and the conventional cell measures 9.3020, 9.7734 and 6.7057 Å, with angles of 90.00, 90.00 and 90.00 degrees. Symmetry generates all atoms from In at (0.0000, 0.0000, 0.0000), In at (0.0000, 0.5000, 0.2807), In at (0.2500, 0.2500, 0.2503), Ag at (0.0000, 0.2853, 0.0000) and Sn at (0.1604, 0.0000, 0.5000).

The value obtained for the energy is -2.935 eV/atom. Its density of states at the Fermi level is 13.30 states/eV per cell. As for the crystal system: orthorhombic. The calculation puts the formation energy at 0.053 eV/atom.